No. 1
DFT (PBE) results for crystalline CaPm12Co6 at its relaxed geometry.

```
19
Lattice="8.2351 0.0000 -2.9115 -4.1175 7.1318 -2.9115 0.0000 0.0000 8.7346" Properties=species:S:1:pos:R:3 pbc="T T T"
Pm 5.3276 2.2323 -2.2334
Pm 0.4795 3.6341 -0.6781
Pm -1.2101 4.8995 5.1449
Pm 0.7305 5.7300 2.2334
Pm -2.3492 5.7300 0.0557
Pm 6.4667 1.4018 2.8558
Pm 3.6380 3.4977 3.5897
Pm 3.7878 4.8995 -0.0557
Pm 3.3870 1.4018 0.6782
Pm 0.3298 2.2323 2.9672
Pm 2.0982 0.8306 5.7674
Pm 2.0194 6.3012 -2.8558
Co 2.9680 3.5659 -2.2686
Co -1.6041 4.3533 2.2686
Co 5.7217 2.7785 0.6429
Co 0.4546 6.3444 -0.6429
Co 3.6629 0.7874 3.5545
Co 1.1495 3.5659 5.1801
Ca 0.0000 0.0000 0.0000
```

Summary:
space group	No. 204
energy relative to the elements	-1.635	kcal/mol of atoms

No. 2
DFT (PBE) results for crystalline AlGaBiPb at its relaxed geometry.

```
4
Lattice="-2.6941 3.8457 2.3920 -5.0499 -0.7423 1.3103 -1.3621 -0.4951 5.0664" Properties=species:S:1:pos:R:3 pbc="T T T"
Bi -2.2765 0.6521 2.1922
Ga 0.0000 0.0000 0.0000
Pb -6.8295 1.9562 6.5766
Al -4.5530 1.3041 4.3844
```

Summary:
space group	No. 216
energy relative to the elements	4.789	kcal/mol of atoms

No. 3
DFT (PBE) results for crystalline ZnFeSb at its relaxed geometry.

```
12
Lattice="6.6485 0.9357 0.4984 0.9693 6.1568 0.2519 2.8876 2.7632 5.7950" Properties=species:S:1:pos:R:3 pbc="T T T"
Fe 5.2717 6.9020 1.7835
Fe 1.2378 3.9738 0.6718
Fe 8.7680 3.4362 5.4424
Fe 6.3925 5.4707 6.0448
Sb 5.4288 4.3757 0.9559
Sb 1.9868 1.9420 2.2981
Sb 3.8991 4.6284 4.7624
Sb 5.5968 7.4809 4.4040
Zn 7.6966 7.3903 2.1282
Zn 6.3018 3.2163 4.9319
Zn 7.3839 5.2821 3.7084
Zn 3.1180 5.0428 2.1438
```

Summary:
space group	No. 1
E_form (uncorrected)	0.1562	eV per atom
energy above the most stable polymorph in this dataset	0.056	eV per atom

Values for DFT total energy, eV per atom, ordered as above
-5.421, -3.382, -4.463